[1]
# MgBePb3 (PBE, relaxed)
data_MgBePb3
_cell_length_a 5.5052
_cell_length_b 5.5052
_cell_length_c 5.5052
_cell_angle_alpha 90.00
_cell_angle_beta 90.00
_cell_angle_gamma 90.00
_symmetry_space_group_name_H-M 'P 1'
_symmetry_Int_Tables_number 1
loop_
_symmetry_equiv_pos_as_xyz
'x,y,z'
loop_
_atom_site_label
_atom_site_fract_x
_atom_site_fract_y
_atom_site_fract_z
_atom_site_occupancy
Pb1 0.0000 0.5000 0.0000 1
Pb2 0.0000 0.0000 0.5000 1
Pb3 0.5000 0.0000 0.0000 1
Be1 0.5000 0.5000 0.5000 1
Mg1 0.0000 0.0000 0.0000 1
# Crystal system   cubic
# Symmetry   Pm-3m

=====

[2]
# Te2Ru3 (PBE, relaxed)
data_Te2Ru3
_cell_length_a 10.3427
_cell_length_b 10.3427
_cell_length_c 10.3427
_cell_angle_alpha 17.55
_cell_angle_beta 17.55
_cell_angle_gamma 17.55
_symmetry_space_group_name_H-M 'P 1'
_symmetry_Int_Tables_number 1
loop_
_symmetry_equiv_pos_as_xyz
'x,y,z'
loop_
_atom_site_label
_atom_site_fract_x
_atom_site_fract_y
_atom_site_fract_z
_atom_site_occupancy
Te1 0.4010 0.4010 0.4010 1
Te2 0.5990 0.5990 0.5990 1
Ru1 0.0000 0.0000 0.0000 1
Ru2 0.7994 0.7994 0.7994 1
Ru3 0.2006 0.2006 0.2006 1
# Crystal system   trigonal
# Formation energy (no corrections)   468 meV/atom
# Symmetry   R-3m

=====

[3]
# CaTb5Ho3 (PBE, relaxed)
data_CaTb5Ho3
_cell_length_a 9.2885
_cell_length_b 10.4876
_cell_length_c 7.3520
_cell_angle_alpha 110.53
_cell_angle_beta 90.00
_cell_angle_gamma 116.28
_symmetry_space_group_name_H-M 'P 1'
_symmetry_Int_Tables_number 1
loop_
_symmetry_equiv_pos_as_xyz
'x,y,z'
loop_
_atom_site_label
_atom_site_fract_x
_atom_site_fract_y
_atom_site_fract_z
_atom_site_occupancy
Ca1 0.6513 0.0000 0.7500 1
Ca2 0.3487 0.0000 0.2500 1
Tb1 0.2851 0.0000 0.7500 1
Tb2 0.5165 0.6730 0.8453 1
Tb3 0.8436 0.3271 0.1722 1
Tb4 0.4835 0.3270 0.1547 1
Tb5 0.5165 0.6729 0.3278 1
Tb6 0.7149 0.0000 0.2500 1
Tb7 0.1565 0.6730 0.3453 1
Tb8 0.8435 0.3270 0.6547 1
Tb9 0.4835 0.3271 0.6722 1
Tb10 0.1564 0.6729 0.8278 1
Ho1 0.0000 0.0000 0.0000 1
Ho2 0.8122 0.6302 0.5651 1
Ho3 0.0000 0.0000 0.5000 1
Ho4 0.1878 0.3698 0.4349 1
Ho5 0.8180 0.6302 0.0651 1
Ho6 0.1820 0.3698 0.9349 1
# Crystal system   orthorhombic
# Symmetry   Imma

=====

[4]
# InGa2Fe2 (PBE, relaxed)
data_InGa2Fe2
_cell_length_a 3.7477
_cell_length_b 3.7477
_cell_length_c 6.4450
_cell_angle_alpha 73.10
_cell_angle_beta 73.10
_cell_angle_gamma 90.00
_symmetry_space_group_name_H-M 'P 1'
_symmetry_Int_Tables_number 1
loop_
_symmetry_equiv_pos_as_xyz
'x,y,z'
loop_
_atom_site_label
_atom_site_fract_x
_atom_site_fract_y
_atom_site_fract_z
_atom_site_occupancy
Fe1 0.7500 0.2500 0.5000 1
Fe2 0.2500 0.7500 0.5000 1
Ga1 0.3893 0.3893 0.2215 1
Ga2 0.6107 0.6107 0.7785 1
In1 0.0000 0.0000 0.0000 1
# Crystal system   tetragonal
# Symmetry   I4/mmm

=====

[5]
# Sr2TbCu3O6 (PBE, relaxed)
data_Sr2TbCu3O6
_cell_length_a 3.8154
_cell_length_b 3.8154
_cell_length_c 11.6832
_cell_angle_alpha 90.00
_cell_angle_beta 90.00
_cell_angle_gamma 90.00
_symmetry_space_group_name_H-M 'P 1'
_symmetry_Int_Tables_number 1
loop_
_symmetry_equiv_pos_as_xyz
'x,y,z'
loop_
_atom_site_label
_atom_site_fract_x
_atom_site_fract_y
_atom_site_fract_z
_atom_site_occupancy
Sr1 0.5000 0.5000 0.1969 1
Sr2 0.5000 0.5000 0.8031 1
Tb1 0.5000 0.5000 0.5000 1
Cu1 0.0000 0.0000 0.3549 1
Cu2 0.0000 0.0000 0.6451 1
Cu3 0.0000 0.0000 0.0000 1
O1 0.0000 0.5000 0.6261 1
O2 0.5000 0.0000 0.3739 1
O3 0.5000 0.0000 0.6261 1
O4 0.0000 0.0000 0.1559 1
O5 0.0000 0.5000 0.3739 1
O6 0.0000 0.0000 0.8441 1
# Crystal system   tetragonal
# Formation energy (no corrections)   -1903 meV/atom
# Symmetry   P4/mmm

=====

[6]
# PuTiSb (PBE, relaxed)
data_PuTiSb
_cell_length_a 3.7286
_cell_length_b 4.7237
_cell_length_c 4.7237
_cell_angle_alpha 120.00
_cell_angle_beta 90.00
_cell_angle_gamma 90.00
_symmetry_space_group_name_H-M 'P 1'
_symmetry_Int_Tables_number 1
loop_
_symmetry_equiv_pos_as_xyz
'x,y,z'
loop_
_atom_site_label
_atom_site_fract_x
_atom_site_fract_y
_atom_site_fract_z
_atom_site_occupancy
Sb1 0.1666 0.0000 0.0000 1
Ti1 0.1668 0.3333 0.6667 1
Pu1 0.6666 0.6667 0.3333 1
# Crystal system   hexagonal
# Formation energy (no corrections)   -195 meV/atom
# Symmetry   P-6m2

=====

[7]
# Pr7Pt2Au2 (PBE, relaxed)
data_Pr7Pt2Au2
_cell_length_a 6.9771
_cell_length_b 7.3573
_cell_length_c 6.9771
_cell_angle_alpha 90.00
_cell_angle_beta 108.18
_cell_angle_gamma 90.00
_symmetry_space_group_name_H-M 'P 1'
_symmetry_Int_Tables_number 1
loop_
_symmetry_equiv_pos_as_xyz
'x,y,z'
loop_
_atom_site_label
_atom_site_fract_x
_atom_site_fract_y
_atom_site_fract_z
_atom_site_occupancy
Pr1 0.9998 0.2653 0.5003 1
Pr2 0.5003 0.7347 0.9998 1
Pr3 0.0002 0.7347 0.4997 1
Pr4 0.4997 0.2653 0.0002 1
Pr5 0.0000 0.0000 0.0000 1
Pr6 0.5002 0.7428 0.4998 1
Pr7 0.4998 0.2572 0.5002 1
Pt1 0.7109 0.0000 0.2891 1
Pt2 0.2891 0.0000 0.7109 1
Au1 0.8184 0.5000 0.8184 1
Au2 0.1816 0.5000 0.1816 1
# Crystal system   orthorhombic
# Symmetry   Cmmm

=====

[8]
# Y2CrNiAu (PBE, relaxed)
data_Y2CrNiAu
_cell_length_a 5.4419
_cell_length_b 4.7119
_cell_length_c 5.4419
_cell_angle_alpha 90.00
_cell_angle_beta 90.00
_cell_angle_gamma 90.00
_symmetry_space_group_name_H-M 'P 1'
_symmetry_Int_Tables_number 1
loop_
_symmetry_equiv_pos_as_xyz
'x,y,z'
loop_
_atom_site_label
_atom_site_fract_x
_atom_site_fract_y
_atom_site_fract_z
_atom_site_occupancy
Y1 0.0000 0.0000 0.5000 1
Y2 0.5000 0.0000 0.0000 1
Ni1 0.0000 0.5000 0.0000 1
Au1 0.0000 0.0000 0.0000 1
Cr1 0.5000 0.5000 0.5000 1
# Crystal system   tetragonal
# Symmetry   P4/mmm

=====

[9]
# Y2ErSb (PBE, relaxed)
data_Y2ErSb
_cell_length_a 4.0047
_cell_length_b 4.0047
_cell_length_c 9.6797
_cell_angle_alpha 78.06
_cell_angle_beta 78.06
_cell_angle_gamma 60.00
_symmetry_space_group_name_H-M 'P 1'
_symmetry_Int_Tables_number 1
loop_
_symmetry_equiv_pos_as_xyz
'x,y,z'
loop_
_atom_site_label
_atom_site_fract_x
_atom_site_fract_y
_atom_site_fract_z
_atom_site_occupancy
Y1 0.0683 0.0683 0.7951 1
Y2 0.2651 0.2651 0.2047 1
Er1 0.5004 0.5004 0.4988 1
Sb1 0.6662 0.6662 0.0013 1
# Crystal system   trigonal
# Formation energy (no corrections)   -346 meV/atom
# Symmetry   R3m

=====

[10]
# IrPb (PBE, relaxed)
data_IrPb
_cell_length_a 3.0516
_cell_length_b 12.2261
_cell_length_c 7.4886
_cell_angle_alpha 90.00
_cell_angle_beta 90.00
_cell_angle_gamma 90.00
_symmetry_space_group_name_H-M 'P 1'
_symmetry_Int_Tables_number 1
loop_
_symmetry_equiv_pos_as_xyz
'x,y,z'
loop_
_atom_site_label
_atom_site_fract_x
_atom_site_fract_y
_atom_site_fract_z
_atom_site_occupancy
Ir1 0.5000 0.8252 0.5854 1
Ir2 0.5000 0.1748 0.5854 1
Ir3 0.5000 0.3252 0.0854 1
Ir4 0.5000 0.6748 0.0854 1
Ir5 0.0000 0.0000 0.4909 1
Ir6 0.0000 0.5000 0.9909 1
Pb1 0.0000 0.3326 0.7506 1
Pb2 0.0000 0.6674 0.7506 1
Pb3 0.0000 0.8326 0.2506 1
Pb4 0.0000 0.1674 0.2506 1
Pb5 0.5000 0.0000 0.8392 1
Pb6 0.5000 0.5000 0.3392 1
# Crystal system   orthorhombic
# Symmetry   Amm2

=====

[11]
# AgH4Pd2 (PBE, relaxed)
data_AgH4Pd2
_cell_length_a 3.5598
_cell_length_b 3.5598
_cell_length_c 5.7269
_cell_angle_alpha 71.89
_cell_angle_beta 71.89
_cell_angle_gamma 90.00
_symmetry_space_group_name_H-M 'P 1'
_symmetry_Int_Tables_number 1
loop_
_symmetry_equiv_pos_as_xyz
'x,y,z'
loop_
_atom_site_label
_atom_site_fract_x
_atom_site_fract_y
_atom_site_fract_z
_atom_site_occupancy
H1 0.8141 0.8141 0.3718 1
H2 0.1859 0.1859 0.6282 1
H3 0.0000 0.5000 0.0000 1
H4 0.5000 0.0000 0.0000 1
Pd1 0.6559 0.6559 0.6882 1
Pd2 0.3441 0.3441 0.3118 1
Ag1 0.0000 0.0000 0.0000 1
# Crystal system   tetragonal
# Symmetry   I4/mmm

=====

[12]
# RhS2NCl (PBE, relaxed)
data_RhS2NCl
_cell_length_a 4.9215
_cell_length_b 4.9215
_cell_length_c 3.6555
_cell_angle_alpha 90.00
_cell_angle_beta 90.00
_cell_angle_gamma 90.00
_symmetry_space_group_name_H-M 'P 1'
_symmetry_Int_Tables_number 1
loop_
_symmetry_equiv_pos_as_xyz
'x,y,z'
loop_
_atom_site_label
_atom_site_fract_x
_atom_site_fract_y
_atom_site_fract_z
_atom_site_occupancy
S1 0.0000 0.5000 0.0000 1
S2 0.5000 0.0000 0.0000 1
N1 0.0000 0.0000 0.5000 1
Rh1 0.0000 0.0000 0.0000 1
Cl1 0.5000 0.5000 0.5000 1
# Crystal system   tetragonal
# Formation energy (no corrections)   852 meV/atom
# Symmetry   P4/mmm

=====

The E_tot results, record by record, are as follows: -2.388, -6.354, -4.176, -4.921, -6.073, -8.978, -5.265, -5.803, -5.749, -5.859, -3.509, -4.304 eV/atom.